The following is a DFT calculation (PBE) of an optimized crystal structure of LaOsCSe2.

Computed properties:
* SG: No. 123
* VASP energy: -31.966 eV for the cell shown

Cell lengths 4.913, 4.913, 3.924 Å; angles 90.00, 90.00, 90.00 degrees
Positions (direct):
La 0.000 0.000 0.000
Os 0.500 0.500 0.000
C 0.500 0.500 0.500
Se 0.000 0.500 0.500
Se 0.500 0.000 0.500